Below is crystalline MnO2 at its relaxed geometry, with properties calculated at the PBE+U level. Values from VASP.

space-group type: R3m
raw total energy: -6.923 eV/atom
D(E_F): 0.650 states/eV per atom

Cell and atoms, written as Quantum ESPRESSO input:
```
&SYSTEM
  ibrav = 0, nat = 12, ntyp = 2
/
ATOMIC_SPECIES
Mn 54.94 Mn.upf
O 16.00 O.upf
CELL_PARAMETERS angstrom
2.914 1.682 5.014
-2.914 1.682 5.014
0.000 -3.365 5.014
ATOMIC_POSITIONS angstrom
Mn 0.000 0.000 0.000
Mn 0.000 -1.650 8.148
Mn -1.429 0.825 8.148
Mn 1.429 0.825 8.148
O 0.000 -1.579 4.158
O -1.367 0.789 4.158
O 0.000 0.000 2.080
O -1.308 -0.755 7.145
O 1.367 0.789 4.158
O 0.000 0.000 9.176
O 1.308 -0.755 7.145
O 0.000 1.511 7.145
```